1.
{
  "formula": "Nb2VTe4S2",
  "functional": "GGA-PBE",
  "state": "optimized geometry",
  "formation_energy_uncorrected_ev_per_atom": -0.490,
  "crystal_system": "trigonal",
  "cell": [[3.499, 0.000, 0.000], [-1.750, 3.031, 0.000], [0.000, 0.000, 22.052]],
  "species": ["Nb", "Nb", "V", "Te", "Te", "Te", "Te", "S", "S"],
  "fractional_positions": [[0.000, 0.000, 0.000], [0.333, 0.667, 0.352], [0.333, 0.667, 0.693], [0.000, 0.000, 0.264], [0.000, 0.000, 0.440], [0.333, 0.667, 0.088], [0.333, 0.667, 0.912], [0.000, 0.000, 0.629], [0.000, 0.000, 0.757]]
}


2.
{
  "formula": "TbCe2Sb",
  "functional": "GGA-PBE",
  "state": "optimized geometry",
  "formation_energy_uncorrected_ev_per_atom": -0.586,
  "crystal_system": "monoclinic",
  "cell": [[4.409, 0.000, 0.000], [0.000, 4.345, 0.000], [-2.145, 0.000, 11.455]],
  "species": ["Tb", "Tb", "Ce", "Ce", "Ce", "Ce", "Sb", "Sb"],
  "fractional_positions": [[0.197, 0.250, 0.390], [0.803, 0.750, 0.610], [0.097, 0.750, 0.114], [0.494, 0.750, 0.880], [0.506, 0.250, 0.120], [0.903, 0.250, 0.886], [0.325, 0.250, 0.663], [0.675, 0.750, 0.337]]
}


3.
{
  "formula": "PmAlAg2F8",
  "functional": "GGA-PBE",
  "state": "optimized geometry",
  "formation_energy_uncorrected_ev_per_atom": -2.800,
  "crystal_system": "monoclinic",
  "cell": [[4.816, 0.000, 0.000], [0.000, 6.743, 0.000], [-0.254, 0.000, 5.734]],
  "species": ["Pm", "Al", "Ag", "Ag", "F", "F", "F", "F", "F", "F", "F", "F"],
  "fractional_positions": [[0.000, 0.000, 0.000], [0.000, 0.500, 0.000], [0.500, 0.283, 0.500], [0.500, 0.717, 0.500], [0.143, 0.292, 0.823], [0.143, 0.708, 0.823], [0.299, 0.500, 0.192], [0.375, 0.000, 0.246], [0.625, 0.000, 0.754], [0.701, 0.500, 0.808], [0.857, 0.292, 0.177], [0.857, 0.708, 0.177]]
}


4.
{
  "formula": "DyCrPt6",
  "functional": "GGA-PBE",
  "state": "optimized geometry",
  "crystal_system": "tetragonal",
  "cell": [[4.016, 0.000, 0.000], [0.000, 4.016, 0.000], [0.000, 0.000, 8.080]],
  "species": ["Dy", "Cr", "Pt", "Pt", "Pt", "Pt", "Pt", "Pt"],
  "fractional_positions": [[0.000, 0.000, 0.000], [0.000, 0.000, 0.500], [0.000, 0.500, 0.265], [0.000, 0.500, 0.735], [0.500, 0.000, 0.265], [0.500, 0.000, 0.735], [0.500, 0.500, 0.000], [0.500, 0.500, 0.500]]
}


5.
{
  "formula": "Sr2HoUO6",
  "functional": "GGA-PBE",
  "state": "optimized geometry",
  "formation_energy_uncorrected_ev_per_atom": -3.290,
  "crystal_system": "monoclinic",
  "cell": [[5.980, 0.000, 0.000], [0.000, 6.108, 0.000], [-5.981, 0.000, 8.526]],
  "species": ["Sr", "Sr", "Sr", "Sr", "Ho", "Ho", "U", "U", "O", "O", "O", "O", "O", "O", "O", "O", "O", "O", "O", "O"],
  "fractional_positions": [[0.240, 0.043, 0.251], [0.240, 0.457, 0.751], [0.760, 0.543, 0.249], [0.760, 0.957, 0.749], [0.500, 0.000, 0.000], [0.500, 0.500, 0.500], [0.000, 0.000, 0.500], [0.000, 0.500, 0.000], [0.144, 0.211, 0.946], [0.144, 0.289, 0.446], [0.240, 0.699, 0.950], [0.240, 0.801, 0.450], [0.341, 0.036, 0.744], [0.341, 0.464, 0.244], [0.659, 0.536, 0.756], [0.659, 0.964, 0.256], [0.760, 0.199, 0.550], [0.760, 0.301, 0.050], [0.856, 0.711, 0.554], [0.856, 0.789, 0.054]]
}


6.
{
  "formula": "TbPm2Sm5Mg",
  "functional": "GGA-PBE",
  "state": "optimized geometry",
  "crystal_system": "orthorhombic",
  "cell": [[2.762, -10.129, 0.000], [2.762, 10.129, 0.000], [0.000, 0.000, 10.717]],
  "species": ["Tb", "Tb", "Pm", "Pm", "Pm", "Pm", "Sm", "Sm", "Sm", "Sm", "Sm", "Sm", "Sm", "Sm", "Sm", "Sm", "Mg", "Mg"],
  "fractional_positions": [[0.203, 0.797, 0.500], [0.797, 0.203, 0.000], [0.115, 0.885, 0.211], [0.115, 0.885, 0.789], [0.885, 0.115, 0.289], [0.885, 0.115, 0.711], [0.014, 0.986, 0.500], [0.289, 0.711, 0.199], [0.289, 0.711, 0.801], [0.381, 0.619, 0.500], [0.500, 0.500, 0.250], [0.500, 0.500, 0.750], [0.619, 0.381, 0.000], [0.711, 0.289, 0.301], [0.711, 0.289, 0.699], [0.986, 0.014, 0.000], [0.405, 0.595, 0.999], [0.595, 0.405, 0.499]]
}


7.
{
  "formula": "TcIrRu2",
  "functional": "GGA-PBE",
  "state": "optimized geometry",
  "crystal_system": "trigonal",
  "cell": [[1.363, 0.787, 8.862], [-1.363, 0.787, 8.862], [0.000, -1.574, 8.862]],
  "species": ["Tc", "Ir", "Ru", "Ru"],
  "fractional_positions": [[0.000, 0.000, 0.000], [0.750, 0.750, 0.750], [0.250, 0.250, 0.250], [0.501, 0.501, 0.501]]
}


8.
{
  "formula": "As2PbW",
  "functional": "GGA-PBE",
  "state": "optimized geometry",
  "crystal_system": "orthorhombic",
  "cell": [[3.379, 0.000, 0.000], [0.000, 4.801, 0.000], [0.000, 0.000, 4.860]],
  "species": ["As", "As", "Pb", "W"],
  "fractional_positions": [[0.000, 0.000, 0.000], [0.500, 0.000, 0.500], [0.000, 0.500, 0.500], [0.500, 0.500, 0.000]]
}


9.
{
  "formula": "Mg4HgBiN",
  "functional": "GGA-PBE",
  "state": "optimized geometry",
  "formation_energy_uncorrected_ev_per_atom": -0.318,
  "crystal_system": "orthorhombic",
  "cell": [[3.081, -7.571, 0.000], [3.081, 7.571, 0.000], [0.000, 0.000, 6.086]],
  "species": ["Mg", "Mg", "Mg", "Mg", "Mg", "Mg", "Mg", "Mg", "Hg", "Hg", "Bi", "Bi", "N", "N"],
  "fractional_positions": [[0.000, 0.500, 0.000], [0.000, 0.500, 0.500], [0.102, 0.898, 0.750], [0.391, 0.609, 0.750], [0.500, 0.000, 0.000], [0.500, 0.000, 0.500], [0.609, 0.391, 0.250], [0.898, 0.102, 0.250], [0.089, 0.911, 0.250], [0.911, 0.089, 0.750], [0.409, 0.591, 0.250], [0.591, 0.409, 0.750], [0.247, 0.753, 0.750], [0.753, 0.247, 0.250]]
}


10.
{
  "formula": "Dy5Ga4Rh",
  "functional": "GGA-PBE",
  "state": "optimized geometry",
  "crystal_system": "tetragonal",
  "cell": [[3.550, 0.000, 0.000], [0.000, 3.550, 0.000], [0.000, 0.000, 17.667]],
  "species": ["Dy", "Dy", "Dy", "Dy", "Dy", "Ga", "Ga", "Ga", "Ga", "Rh"],
  "fractional_positions": [[0.000, 0.000, 0.000], [0.000, 0.000, 0.204], [0.000, 0.000, 0.408], [0.000, 0.000, 0.592], [0.000, 0.000, 0.796], [0.500, 0.500, 0.102], [0.500, 0.500, 0.305], [0.500, 0.500, 0.695], [0.500, 0.500, 0.898], [0.500, 0.500, 0.500]]
}


11.
{
  "formula": "ThMg2Hg",
  "functional": "GGA-PBE",
  "state": "optimized geometry",
  "crystal_system": "trigonal",
  "cell": [[1.677, 0.968, 10.537], [-1.677, 0.968, 10.537], [0.000, -1.937, 10.537]],
  "species": ["Th", "Mg", "Mg", "Hg"],
  "fractional_positions": [[0.000, 0.000, 0.000], [0.241, 0.241, 0.241], [0.427, 0.427, 0.427], [0.834, 0.834, 0.834]]
}


12.
{
  "formula": "HoEr3Ru8",
  "functional": "GGA-PBE",
  "state": "optimized geometry",
  "crystal_system": "trigonal",
  "cell": [[2.653, 1.532, 8.713], [-2.653, 1.532, 8.713], [0.000, -3.063, 8.713]],
  "species": ["Ho", "Er", "Er", "Er", "Ru", "Ru", "Ru", "Ru", "Ru", "Ru", "Ru", "Ru"],
  "fractional_positions": [[0.000, 0.000, 0.000], [0.125, 0.125, 0.125], [0.500, 0.500, 0.500], [0.625, 0.625, 0.625], [0.063, 0.063, 0.562], [0.063, 0.562, 0.063], [0.063, 0.563, 0.563], [0.313, 0.313, 0.313], [0.562, 0.063, 0.063], [0.563, 0.063, 0.563], [0.563, 0.563, 0.063], [0.813, 0.813, 0.813]]
}


no.,E (eV for the cell shown),magnetic moment (μB/f.u.)
1,-54.490,1.06
2,-45.932,0.00
3,-62.765,0.00
4,-55.393,2.35
5,-163.758,1.00
6,-76.996,0.00
7,-37.642,0.00
8,-22.373,0.00
9,-42.219,0.00
10,-48.947,0.00
11,-11.059,0.00
12,-96.397,0.00